{"formula": "MnCdBr2", "functional": "PBE", "state": "relaxed", "energy_ev_per_atom": -3.81, "m_tot_mub_per_atom": 1.2367, "n_ef_per_ev_atom": 0.203, "cell": [[10.461, 0.018, 0.011], [9.761, 3.762, 0.011], [9.761, 1.825, 3.290]], "species": ["Br", "Br", "Cd", "Mn"], "frac_coords": [[0.033, 0.033, 0.033], [0.467, 0.467, 0.467], [0.250, 0.250, 0.250], [0.750, 0.750, 0.750]]}